This record from the Alexandria database describes an optimized crystal structure of TlZn2Fe2. The functional is GGA-PBE.

Calculated values
Fermi-level density of states ... 0.63 states/eV per atom
Energy above the lowest structure with this stoichiometry ... 0.000 eV/atom
Total DFT energy (no corrections) ... -4.056 eV/atom
Formation energy ... 0.312 eV per atom

Cell and atoms, written as POSCAR:
```
TlZn2Fe2
1.0
7.069 0.000 0.000
0.000 7.069 0.000
0.000 0.000 3.140
Tl Zn Fe
2 4 4
direct
0.000 0.000 0.000
0.500 0.500 0.000
0.172 0.328 0.500
0.328 0.828 0.500
0.672 0.172 0.500
0.828 0.672 0.500
0.117 0.617 0.000
0.383 0.117 0.000
0.617 0.883 0.000
0.883 0.383 0.000
```